(1)
## BaLa2BiIr (PBE-GGA)

Data for a geometry-optimized BaLa2BiIr structure.

a b c (Å): 5.528 5.528 6.175
angles (deg): 90.00 90.00 90.00
Fractional positions:
Ba (0.000, 0.000, 0.000)
La (0.000, 0.500, 0.500)
La (0.500, 0.000, 0.500)
Bi (0.500, 0.500, 0.000)
Ir (0.000, 0.000, 0.500)

Calculated values
ΔH_f (0 K) = -0.557 eV/atom
uncorrected energy = -27.304 eV/f.u.
M_tot = 0.0 μB/cell

---

(2)
## SrCo2Tc (PBE-GGA)

Data for a geometry-optimized SrCo2Tc structure.

a b c (Å): 4.094 4.094 16.676
angles (deg): 90.00 90.00 120.00
Fractional positions:
Sr (0.000, 0.000, 0.000)
Sr (0.333, 0.667, 0.667)
Sr (0.667, 0.333, 0.333)
Co (0.000, 0.000, 0.189)
Co (0.000, 0.000, 0.513)
Co (0.333, 0.667, 0.180)
Co (0.333, 0.667, 0.856)
Co (0.667, 0.333, 0.522)
Co (0.667, 0.333, 0.846)
Tc (0.000, 0.000, 0.813)
Tc (0.333, 0.667, 0.480)
Tc (0.667, 0.333, 0.146)

Calculated values
ΔH_f (0 K) = 0.321 eV/atom
uncorrected energy = -24.974 eV/f.u.
M_tot = 5.7 μB/cell

---

(3)
## CaTaAg2 (PBE-GGA)

Data for a geometry-optimized CaTaAg2 structure.

a b c (Å): 7.301 7.342 3.024
angles (deg): 90.00 90.00 90.00
Fractional positions:
Ca (0.000, 0.000, 0.000)
Ca (0.500, 0.500, 0.000)
Ta (0.000, 0.500, 0.000)
Ta (0.500, 0.000, 0.000)
Ag (0.250, 0.250, 0.500)
Ag (0.250, 0.750, 0.500)
Ag (0.750, 0.250, 0.500)
Ag (0.750, 0.750, 0.500)

Calculated values
ΔH_f (0 K) = 0.294 eV/atom
uncorrected energy = -18.382 eV/f.u.
M_tot = 0.0 μB/cell

---

(4)
## AgMo2W (PBE-GGA)

Data for a geometry-optimized AgMo2W structure.

a b c (Å): 2.678 4.594 5.375
angles (deg): 90.00 99.27 90.00
Fractional positions:
Ag (0.000, 0.000, 0.000)
Mo (0.440, 0.000, 0.501)
Mo (0.673, 0.500, 0.248)
W (0.174, 0.500, 0.730)

Calculated values
ΔH_f (0 K) = 0.410 eV/atom
uncorrected energy = -35.825 eV/f.u.
M_tot = 0.0 μB/cell

---

(5)
## ScMnZnC (PBE-GGA)

Data for a geometry-optimized ScMnZnC structure.

a b c (Å): 3.354 3.354 9.795
angles (deg): 90.00 90.00 90.00
Fractional positions:
Sc (0.250, 0.250, 0.231)
Sc (0.750, 0.750, 0.769)
Mn (0.250, 0.750, 0.000)
Mn (0.750, 0.250, 0.000)
Zn (0.250, 0.750, 0.500)
Zn (0.750, 0.250, 0.500)
C (0.250, 0.250, 0.880)
C (0.750, 0.750, 0.120)

Calculated values
ΔH_f (0 K) = -0.105 eV/atom
uncorrected energy = -26.421 eV/f.u.
M_tot = 2.5 μB/cell

---

(6)
## CaIn5Ag3 (PBE-GGA)

Data for a geometry-optimized CaIn5Ag3 structure.

a b c (Å): 7.727 7.727 16.152
angles (deg): 90.00 90.00 152.37
Fractional positions:
Ca (0.154, 0.846, 0.750)
Ca (0.846, 0.154, 0.250)
In (0.000, 0.000, 0.000)
In (0.000, 0.000, 0.500)
In (0.191, 0.809, 0.075)
In (0.191, 0.809, 0.425)
In (0.462, 0.538, 0.659)
In (0.462, 0.538, 0.841)
In (0.538, 0.462, 0.159)
In (0.538, 0.462, 0.341)
In (0.809, 0.191, 0.575)
In (0.809, 0.191, 0.925)
Ag (0.163, 0.837, 0.250)
Ag (0.373, 0.627, 0.075)
Ag (0.373, 0.627, 0.425)
Ag (0.627, 0.373, 0.575)
Ag (0.627, 0.373, 0.925)
Ag (0.837, 0.163, 0.750)

Calculated values
ΔH_f (0 K) = -0.055 eV/atom
uncorrected energy = -24.743 eV/f.u.
M_tot = 0.0 μB/cell

---

(7)
## YTaC2 (PBE-GGA)

Data for a geometry-optimized YTaC2 structure.

a b c (Å): 5.886 5.886 5.886
angles (deg): 90.00 90.00 90.00
Fractional positions:
Y (0.000, 0.000, 0.000)
Y (0.000, 0.500, 0.500)
Y (0.500, 0.000, 0.500)
Y (0.500, 0.500, 0.000)
Ta (0.000, 0.000, 0.500)
Ta (0.000, 0.500, 0.000)
Ta (0.500, 0.000, 0.000)
Ta (0.500, 0.500, 0.500)
C (0.250, 0.250, 0.250)
C (0.250, 0.250, 0.750)
C (0.250, 0.750, 0.250)
C (0.250, 0.750, 0.750)
C (0.750, 0.250, 0.250)
C (0.750, 0.250, 0.750)
C (0.750, 0.750, 0.250)
C (0.750, 0.750, 0.750)

Calculated values
ΔH_f (0 K) = 0.813 eV/atom
uncorrected energy = -33.514 eV/f.u.
M_tot = 0.0 μB/cell

---

(8)
## AlGaFe (PBE-GGA)

Data for a geometry-optimized AlGaFe structure.

a b c (Å): 4.177 4.177 2.716
angles (deg): 90.00 90.00 120.00
Fractional positions:
Al (0.000, 0.000, 0.000)
Ga (0.333, 0.667, 0.498)
Fe (0.667, 0.333, 0.501)

Calculated values
ΔH_f (0 K) = -0.031 eV/atom
uncorrected energy = -15.325 eV/f.u.
M_tot = 1.2 μB/cell